Entry 1:
! PuFeCu | OQMD | GGA-PBE | relaxed; values from VASP
&SYSTEM
  ibrav = 0, nat = 3, ntyp = 3
/
ATOMIC_SPECIES
Cu 63.55 Cu.upf
Fe 55.84 Fe.upf
Pu 244.00 Pu.upf
ATOMIC_POSITIONS crystal
Cu 0.500 0.500 0.500
Fe 0.000 0.000 0.000
Pu 0.250 0.250 0.250
CELL_PARAMETERS angstrom
3.675 -0.128 1.999
0.129 0.356 4.168
0.988 -3.317 2.354
! ΔE_f ... 242 kJ/mol of formula units

Entry 2:
! PuFeCu | OQMD | GGA-PBE | relaxed; values from VASP
&SYSTEM
  ibrav = 0, nat = 3, ntyp = 3
/
ATOMIC_SPECIES
Cu 63.55 Cu.upf
Fe 55.84 Fe.upf
Pu 244.00 Pu.upf
ATOMIC_POSITIONS crystal
Cu 0.750 0.750 0.750
Fe 0.000 0.000 0.000
Pu 0.250 0.250 0.250
CELL_PARAMETERS angstrom
3.499 -0.433 2.155
0.440 1.920 3.633
0.010 -2.189 3.505
! ΔE_f ... 270 kJ/mol of formula units

Entry 3:
Compound: RbFeCuTe2S
Source: OQMD
Functional: GGA-PBE
Structure: relaxed Values from VASP.

Structure (Quantum ESPRESSO input):
```
&SYSTEM
  ibrav = 0, nat = 12, ntyp = 5
/
ATOMIC_SPECIES
Cu 63.55 Cu.upf
Fe 55.84 Fe.upf
Rb 85.47 Rb.upf
S 32.06 S.upf
Te 127.60 Te.upf
ATOMIC_POSITIONS crystal
Cu 0.025 0.975 0.250
Cu 0.975 0.025 0.750
Fe 0.500 0.500 0.000
Fe 0.500 0.500 0.500
Rb 0.761 0.239 0.250
Rb 0.239 0.761 0.750
S 0.448 0.552 0.250
S 0.552 0.448 0.750
Te 0.112 0.888 0.037
Te 0.112 0.888 0.463
Te 0.888 0.112 0.537
Te 0.888 0.112 0.963
CELL_PARAMETERS angstrom
1.917 -7.912 0.000
1.917 7.912 0.000
0.000 0.000 10.206
```

| no. | M_tot (μB/f.u.) | calculated total energy (eV/atom) |
| --- | --- | --- |
| 1 | 3.49 | -7.88 |
| 2 | 0.17 | -7.78 |
| 3 | 2.43 | -4.17 |